DFT (GGA+U) results for K3V2Br3F4 after structural relaxation. Values from VASP.

Computed properties:
final energy = -4.6100 eV per atom
total magnetization = 6.00 μB/f.u.

Geometry as Quantum ESPRESSO input:
```
&SYSTEM
  ibrav = 0, nat = 12, ntyp = 4
/
ATOMIC_SPECIES
V 50.94 V.upf
F 19.00 F.upf
K 39.10 K.upf
Br 79.90 Br.upf
CELL_PARAMETERS angstrom
-3.0868 -2.8931 0.1859
1.0557 -1.4492 -5.0233
9.1297 -6.2212 6.5452
ATOMIC_POSITIONS crystal
V 0.8864 0.8838 0.7677
F 0.8034 0.8001 0.6003
K 0.7000 0.6984 0.3968
Br 0.0022 0.0000 0.0000
Br 0.1056 0.6038 0.2076
K 0.3032 0.3016 0.6032
F 0.6216 0.1190 0.2380
Br 0.8980 0.3962 0.7924
K 0.5020 0.5000 0.0000
V 0.1187 0.1162 0.2323
F 0.2031 0.1999 0.3997
F 0.3836 0.8810 0.7620
```

DFT (GGA+U) results for K2VBr4F2 after structural relaxation. Values from VASP.

Computed properties:
final energy = -3.9403 eV per atom
total magnetization = 1.01 μB/f.u.

Geometry as Quantum ESPRESSO input:
```
&SYSTEM
  ibrav = 0, nat = 9, ntyp = 4
/
ATOMIC_SPECIES
K 39.10 K.upf
Br 79.90 Br.upf
F 19.00 F.upf
V 50.94 V.upf
CELL_PARAMETERS angstrom
-3.6587 3.6929 -3.1242
2.1356 -3.7473 -5.3353
-3.6209 -5.7479 -0.9588
ATOMIC_POSITIONS crystal
K 0.6913 0.3453 0.3453
Br 0.2454 0.6566 0.1401
F 0.6488 0.8741 0.8741
V 0.5000 0.0000 0.0000
K 0.3087 0.6547 0.6547
Br 0.2454 0.1401 0.6566
Br 0.7546 0.8599 0.3434
F 0.3512 0.1259 0.1259
Br 0.7546 0.3434 0.8599
```

DFT (GGA+U) results for K3VBr2F6 after structural relaxation. Values from VASP.

Computed properties:
final energy = -4.4381 eV per atom
total magnetization = 0.04 μB/f.u.

Geometry as Quantum ESPRESSO input:
```
&SYSTEM
  ibrav = 0, nat = 12, ntyp = 4
/
ATOMIC_SPECIES
K 39.10 K.upf
F 19.00 F.upf
Br 79.90 Br.upf
V 50.94 V.upf
CELL_PARAMETERS angstrom
5.0566 0.0000 0.1048
0.0000 7.6300 0.0000
-0.7028 -3.8150 7.8490
ATOMIC_POSITIONS crystal
K 0.0000 0.5000 0.0000
F 0.4278 0.1127 0.2254
Br 0.9925 0.6976 0.3951
Br 0.0075 0.3024 0.6049
F 0.7431 0.8514 0.0453
V 0.5000 0.0000 0.0000
K 0.5000 0.5000 0.5000
F 0.2569 0.1486 0.9547
F 0.7431 0.1940 0.0453
F 0.5722 0.8873 0.7746
F 0.2569 0.8060 0.9547
K 0.5000 0.0000 0.5000
```

DFT (GGA+U) results for K3V2Br2F5 after structural relaxation. Values from VASP.

Computed properties:
final energy = -4.9402 eV per atom
total magnetization = 6.00 μB/f.u.

Geometry as Quantum ESPRESSO input:
```
&SYSTEM
  ibrav = 0, nat = 12, ntyp = 4
/
ATOMIC_SPECIES
V 50.94 V.upf
Br 79.90 Br.upf
F 19.00 F.upf
K 39.10 K.upf
CELL_PARAMETERS angstrom
4.3369 0.0000 0.0000
0.0000 4.3369 0.0000
-2.1684 -2.1684 12.5086
ATOMIC_POSITIONS crystal
V 0.4162 0.4162 0.8323
Br 0.6916 0.6916 0.3831
F 0.4188 0.9188 0.8376
V 0.5838 0.5838 0.1677
F 0.9188 0.4188 0.8376
K 0.1627 0.1627 0.3254
F 0.5000 0.5000 0.0000
K 0.8373 0.8373 0.6746
F 0.0812 0.5812 0.1624
F 0.5812 0.0812 0.1624
K 0.0000 0.0000 0.0000
Br 0.3084 0.3084 0.6169
```

DFT (GGA+U) results for K2WBr4F2 after structural relaxation. Values from VASP.

Computed properties:
final energy = -3.9330 eV per atom
total magnetization = 1.99 μB/f.u.

Geometry as Quantum ESPRESSO input:
```
&SYSTEM
  ibrav = 0, nat = 9, ntyp = 4
/
ATOMIC_SPECIES
Br 79.90 Br.upf
F 19.00 F.upf
W 183.84 W.upf
K 39.10 K.upf
CELL_PARAMETERS angstrom
6.7544 0.6226 0.4236
2.2369 6.7184 -0.0723
2.2369 2.3996 6.2757
ATOMIC_POSITIONS crystal
Br 0.6897 0.8243 0.3102
F 0.7701 0.8275 0.8275
W 0.5000 0.0000 0.0000
Br 0.3103 0.6898 0.1757
F 0.2299 0.1725 0.1725
Br 0.3103 0.1757 0.6898
K 0.7809 0.2854 0.2854
Br 0.6897 0.3102 0.8243
K 0.2191 0.7146 0.7146
```